*A*
Below is Fe2Mo3O12 after structural relaxation, with properties calculated at the PBE with a Hubbard U level.

Output
* spin magnetization: 40.73 Bohr magnetons per cell

Structure (POSCAR):
```
Fe2Mo3O12
1.0
13.1663 0.0000 0.0000
0.0000 9.4573 0.0000
0.0000 0.0000 9.5490
Fe Mo O
8 12 48
direct
0.1189 0.2499 0.0349
0.1189 0.7501 0.5349
0.3811 0.2501 0.5349
0.3811 0.7499 0.0349
0.6189 0.2501 0.9651
0.6189 0.7499 0.4651
0.8811 0.2499 0.4651
0.8811 0.7501 0.9651
0.0000 0.0263 0.7500
0.0000 0.9737 0.2500
0.1450 0.3954 0.3830
0.1450 0.6046 0.8830
0.3550 0.1046 0.8830
0.3550 0.8954 0.3830
0.5000 0.4737 0.2500
0.5000 0.5263 0.7500
0.6450 0.1046 0.6170
0.6450 0.8954 0.1170
0.8550 0.3954 0.1170
0.8550 0.6046 0.6170
0.0248 0.3204 0.4281
0.0248 0.6796 0.9281
0.0644 0.1349 0.8751
0.0644 0.8651 0.3751
0.0918 0.0839 0.1643
0.0918 0.9161 0.6643
0.1412 0.4168 0.9090
0.1412 0.5832 0.4090
0.1694 0.3611 0.2012
0.1694 0.6389 0.7012
0.2415 0.3185 0.4916
0.2415 0.6815 0.9916
0.2585 0.1815 0.9916
0.2585 0.8185 0.4916
0.3306 0.1389 0.7012
0.3306 0.8611 0.2012
0.3588 0.0832 0.4090
0.3588 0.9168 0.9090
0.4082 0.4161 0.6643
0.4082 0.5839 0.1643
0.4356 0.3651 0.3751
0.4356 0.6349 0.8751
0.4752 0.1796 0.9281
0.4752 0.8204 0.4281
0.5248 0.1796 0.5719
0.5248 0.8204 0.0719
0.5644 0.3651 0.1249
0.5644 0.6349 0.6249
0.5918 0.4161 0.8357
0.5918 0.5839 0.3357
0.6412 0.0832 0.0910
0.6412 0.9168 0.5910
0.6694 0.1389 0.7988
0.6694 0.8611 0.2988
0.7415 0.1815 0.5084
0.7415 0.8185 0.0084
0.7585 0.3185 0.0084
0.7585 0.6815 0.5084
0.8306 0.3611 0.2988
0.8306 0.6389 0.7988
0.8588 0.4168 0.5910
0.8588 0.5832 0.0910
0.9082 0.0839 0.3357
0.9082 0.9161 0.8357
0.9356 0.1349 0.6249
0.9356 0.8651 0.1249
0.9752 0.3204 0.0719
0.9752 0.6796 0.5719
```

---

*B*
Below is Fe2Mo3O12 after structural relaxation, with properties calculated at the PBE with a Hubbard U level.

Output
* spin magnetization: 12.19 Bohr magnetons per cell

Structure (POSCAR):
```
Fe2Mo3O12
1.0
6.7062 0.0000 0.0000
-2.9705 7.9358 0.0000
-1.8309 -3.8080 9.4497
Fe Mo O
4 6 24
direct
0.0294 0.1820 0.0005
0.2384 0.6578 0.5946
0.7616 0.3422 0.4054
0.9706 0.8180 0.9995
0.0705 0.5902 0.2459
0.1536 0.2087 0.3294
0.4588 0.1147 0.8760
0.5412 0.8853 0.1240
0.8464 0.7913 0.6706
0.9295 0.4098 0.7541
0.0018 0.3065 0.8729
0.0628 0.0635 0.1316
0.0971 0.3955 0.4444
0.1081 0.0453 0.4002
0.1329 0.3925 0.1718
0.1940 0.5271 0.7327
0.2376 0.7336 0.4271
0.2620 0.8891 0.7347
0.2962 0.8875 0.0167
0.3309 0.2275 0.9843
0.4281 0.7460 0.2128
0.4517 0.3113 0.3699
0.5483 0.6887 0.6301
0.5719 0.2540 0.7872
0.6691 0.7725 0.0157
0.7038 0.1125 0.9833
0.7380 0.1109 0.2653
0.7624 0.2664 0.5729
0.8060 0.4729 0.2673
0.8671 0.6075 0.8282
0.8919 0.9547 0.5998
0.9029 0.6045 0.5556
0.9372 0.9365 0.8684
0.9982 0.6935 0.1271
```

---

Here are the energies relative to the best structure, in meV per atom: *A* 0; *B* 164.